Record 1
DFT (PBE-GGA) results for crystalline Li7Zn5Pd at its relaxed geometry.

## Properties
E (eV/cell): -27.509
Fermi-level density of states (states/eV/f.u.): 4.284
Magnetization (μB/atom): 0.0000
Space group: Imm2
Energy relative to the elements (eV per atom): -0.20

Lattice parameters (Å, degrees): 6.983 6.983 6.983 137.90 98.17 96.66
Positions (direct):
Li 0.000 0.000 0.000
Li 0.132 0.855 0.277
Li 0.150 0.650 0.500
Li 0.398 0.398 0.000
Li 0.579 0.855 0.723
Li 0.706 0.349 0.357
Li 0.992 0.349 0.643
Zn 0.361 0.357 0.510
Zn 0.361 0.851 0.004
Zn 0.581 0.081 0.500
Zn 0.847 0.357 0.996
Zn 0.847 0.851 0.490
Pd 0.706 0.706 0.000

=====

Record 2
DFT (PBE-GGA) results for crystalline Li2Zn5Pd2 at its relaxed geometry.

## Properties
E (eV/cell): -45.918
Fermi-level density of states (states/eV/f.u.): 3.617
Magnetization (μB/atom): 0.0000
Space group: C2/m
Energy relative to the elements (eV per atom): -0.26
Energy relative to the lowest polymorph listed for this composition (meV per atom): 27.3

Lattice parameters (Å, degrees): 8.072 8.072 4.642 104.47 104.47 67.54
Positions (direct):
Li 0.000 0.000 0.000
Li 0.000 0.500 0.000
Li 0.500 0.000 0.000
Li 0.500 0.500 0.500
Zn 0.094 0.610 0.607
Zn 0.197 0.698 0.202
Zn 0.266 0.266 0.318
Zn 0.302 0.803 0.798
Zn 0.390 0.906 0.393
Zn 0.610 0.094 0.607
Zn 0.698 0.197 0.202
Zn 0.734 0.734 0.682
Zn 0.803 0.302 0.798
Zn 0.906 0.390 0.393
Pd 0.155 0.155 0.729
Pd 0.381 0.381 0.916
Pd 0.619 0.619 0.084
Pd 0.845 0.845 0.271

=====

Record 3
DFT (PBE-GGA) results for crystalline LiZnPd5 at its relaxed geometry.

## Properties
E (eV/cell): -61.136
Fermi-level density of states (states/eV/f.u.): 5.623
Magnetization (μB/atom): 0.0000
Space group: Cmmm
Energy relative to the elements (eV per atom): -0.20
Energy relative to the lowest polymorph listed for this composition (meV per atom): 0.0

Lattice parameters (Å, degrees): 5.453 7.611 5.439 90.00 90.00 90.00
Positions (direct):
Li 0.000 0.000 0.000
Li 0.500 0.500 0.000
Zn 0.000 0.500 0.500
Zn 0.500 0.000 0.500
Pd 0.000 0.500 0.000
Pd 0.250 0.250 0.256
Pd 0.250 0.250 0.744
Pd 0.250 0.750 0.256
Pd 0.250 0.750 0.744
Pd 0.500 0.000 0.000
Pd 0.750 0.250 0.256
Pd 0.750 0.250 0.744
Pd 0.750 0.750 0.256
Pd 0.750 0.750 0.744

=====

Record 4
DFT (PBE-GGA) results for crystalline LiZn3Pd7 at its relaxed geometry.

## Properties
E (eV/cell): -44.801
Fermi-level density of states (states/eV/f.u.): 3.178
Magnetization (μB/atom): 0.0000
Space group: C2/m
Energy relative to the elements (eV per atom): -0.25

Lattice parameters (Å, degrees): 6.544 6.544 4.569 109.69 109.69 91.04
Positions (direct):
Li 0.000 0.000 0.000
Zn 0.274 0.726 0.500
Zn 0.500 0.500 0.000
Zn 0.726 0.274 0.500
Pd 0.000 0.000 0.500
Pd 0.109 0.510 0.809
Pd 0.311 0.311 0.315
Pd 0.490 0.891 0.191
Pd 0.510 0.109 0.809
Pd 0.689 0.689 0.685
Pd 0.891 0.490 0.191

=====

Record 5
DFT (PBE-GGA) results for crystalline LiZn2Pd at its relaxed geometry.

## Properties
E (eV/cell): -11.184
Fermi-level density of states (states/eV/f.u.): 0.668
Magnetization (μB/atom): 0.0000
Space group: P4/mmm
Energy relative to the elements (eV per atom): -0.38
Energy relative to the lowest polymorph listed for this composition (meV per atom): 70.2

Lattice parameters (Å, degrees): 3.208 3.208 5.611 90.00 90.00 90.00
Positions (direct):
Li 0.000 0.000 0.000
Zn 0.500 0.500 0.251
Zn 0.500 0.500 0.749
Pd 0.000 0.000 0.500

=====

Record 6
DFT (PBE-GGA) results for crystalline Li5ZnPd4 at its relaxed geometry.

## Properties
E (eV/cell): -35.418
Fermi-level density of states (states/eV/f.u.): 4.012
Magnetization (μB/atom): 0.0000
Space group: P4/mmm
Energy relative to the elements (eV per atom): -0.38
Energy relative to the lowest polymorph listed for this composition (meV per atom): 64.0

Lattice parameters (Å, degrees): 3.074 3.074 14.406 90.00 90.00 90.00
Positions (direct):
Li 0.000 0.000 0.000
Li 0.000 0.000 0.200
Li 0.000 0.000 0.394
Li 0.000 0.000 0.606
Li 0.000 0.000 0.800
Zn 0.500 0.500 0.500
Pd 0.500 0.500 0.101
Pd 0.500 0.500 0.304
Pd 0.500 0.500 0.696
Pd 0.500 0.500 0.899

=====

Record 7
DFT (PBE-GGA) results for crystalline Li2ZnPd5 at its relaxed geometry.

## Properties
E (eV/cell): -68.413
Fermi-level density of states (states/eV/f.u.): 5.372
Magnetization (μB/atom): 0.0000
Space group: I4mm
Energy relative to the elements (eV per atom): -0.39
Energy relative to the lowest polymorph listed for this composition (meV per atom): 0.0

Lattice parameters (Å, degrees): 6.137 6.137 6.123 90.00 90.00 90.00
Positions (direct):
Li 0.000 0.500 0.000
Li 0.000 0.500 0.500
Li 0.500 0.000 0.000
Li 0.500 0.000 0.500
Zn 0.000 0.000 0.000
Zn 0.500 0.500 0.500
Pd 0.000 0.000 0.499
Pd 0.250 0.250 0.250
Pd 0.250 0.250 0.750
Pd 0.250 0.750 0.250
Pd 0.250 0.750 0.750
Pd 0.500 0.500 0.999
Pd 0.750 0.250 0.250
Pd 0.750 0.250 0.750
Pd 0.750 0.750 0.250
Pd 0.750 0.750 0.750

=====

Record 8
DFT (PBE-GGA) results for crystalline Li2ZnPd5 at its relaxed geometry.

## Properties
E (eV/cell): -67.469
Fermi-level density of states (states/eV/f.u.): 4.277
Magnetization (μB/atom): 0.0000
Space group: I4/mcm
Energy relative to the elements (eV per atom): -0.33
Energy relative to the lowest polymorph listed for this composition (meV per atom): 59.0

Lattice parameters (Å, degrees): 7.037 7.037 7.037 125.00 125.00 81.55
Positions (direct):
Li 0.144 0.644 0.789
Li 0.356 0.144 0.500
Li 0.644 0.856 0.500
Li 0.856 0.356 0.211
Zn 0.250 0.250 0.000
Zn 0.750 0.750 0.000
Pd 0.000 0.000 0.000
Pd 0.000 0.195 0.500
Pd 0.000 0.805 0.500
Pd 0.195 0.695 0.195
Pd 0.305 0.500 0.500
Pd 0.500 0.000 0.195
Pd 0.500 0.000 0.805
Pd 0.500 0.500 0.000
Pd 0.695 0.500 0.500
Pd 0.805 0.305 0.805

=====

Record 9
DFT (PBE-GGA) results for crystalline Li3Zn3Pd at its relaxed geometry.

## Properties
E (eV/cell): -32.225
Fermi-level density of states (states/eV/f.u.): 1.939
Magnetization (μB/atom): 0.0000
Space group: R-3
Energy relative to the elements (eV per atom): -0.19
Energy relative to the lowest polymorph listed for this composition (meV per atom): 13.2

Lattice parameters (Å, degrees): 7.030 7.030 7.030 56.19 56.19 56.19
Positions (direct):
Li 0.057 0.576 0.222
Li 0.222 0.057 0.576
Li 0.424 0.778 0.943
Li 0.576 0.222 0.057
Li 0.778 0.943 0.424
Li 0.943 0.424 0.778
Zn 0.205 0.696 0.430
Zn 0.304 0.570 0.795
Zn 0.430 0.205 0.696
Zn 0.570 0.795 0.304
Zn 0.696 0.430 0.205
Zn 0.795 0.304 0.570
Pd 0.159 0.159 0.159
Pd 0.841 0.841 0.841

=====

Record 10
DFT (PBE-GGA) results for crystalline Li2Zn6Pd at its relaxed geometry.

## Properties
E (eV/cell): -18.427
Fermi-level density of states (states/eV/f.u.): 2.107
Magnetization (μB/atom): 0.0000
Space group: C2/m
Energy relative to the elements (eV per atom): -0.20
Energy relative to the lowest polymorph listed for this composition (meV per atom): 83.1

Lattice parameters (Å, degrees): 5.665 5.665 5.881 105.20 105.20 53.19
Positions (direct):
Li 0.113 0.113 0.185
Li 0.887 0.887 0.815
Zn 0.128 0.633 0.260
Zn 0.312 0.312 0.602
Zn 0.367 0.872 0.740
Zn 0.633 0.128 0.260
Zn 0.688 0.688 0.398
Zn 0.872 0.367 0.740
Pd 0.500 0.500 0.000

=====

Record 11
DFT (PBE-GGA) results for crystalline Li3Zn6Pd2 at its relaxed geometry.

## Properties
E (eV/cell): -26.768
Fermi-level density of states (states/eV/f.u.): 2.640
Magnetization (μB/atom): 0.0000
Space group: P-1
Energy relative to the elements (eV per atom): -0.27

Lattice parameters (Å, degrees): 5.189 5.192 7.284 89.59 78.08 60.66
Positions (direct):
Li 0.000 0.000 0.000
Li 0.051 0.970 0.656
Li 0.949 0.030 0.344
Zn 0.061 0.457 0.162
Zn 0.315 0.312 0.506
Zn 0.478 0.507 0.809
Zn 0.522 0.493 0.191
Zn 0.685 0.688 0.494
Zn 0.939 0.543 0.838
Pd 0.465 0.029 0.810
Pd 0.535 0.971 0.190

=====

Record 12
DFT (PBE-GGA) results for crystalline LiZn4Pd at its relaxed geometry.

## Properties
E (eV/cell): -27.974
Fermi-level density of states (states/eV/f.u.): 1.292
Magnetization (μB/atom): 0.0000
Space group: C2/m
Energy relative to the elements (eV per atom): -0.30
Energy relative to the lowest polymorph listed for this composition (meV per atom): 13.6

Lattice parameters (Å, degrees): 8.657 3.814 5.455 90.00 106.95 90.00
Positions (direct):
Li 0.000 0.000 0.000
Li 0.500 0.500 0.000
Zn 0.162 0.500 0.833
Zn 0.169 0.500 0.333
Zn 0.331 0.000 0.667
Zn 0.338 0.000 0.167
Zn 0.662 0.000 0.833
Zn 0.669 0.000 0.333
Zn 0.831 0.500 0.667
Zn 0.838 0.500 0.167
Pd 0.000 0.000 0.500
Pd 0.500 0.500 0.500

=====

Q: energy relative to the elements of number 1 (Li7Zn5Pd)?
A: -0.20 eV per atom

=====

Please write out number 9 again, unchanged.
DFT (PBE-GGA) results for crystalline Li3Zn3Pd at its relaxed geometry.

## Properties
E (eV/cell): -32.225
Fermi-level density of states (states/eV/f.u.): 1.939
Magnetization (μB/atom): 0.0000
Space group: R-3
Energy relative to the elements (eV per atom): -0.19
Energy relative to the lowest polymorph listed for this composition (meV per atom): 13.2

Lattice parameters (Å, degrees): 7.030 7.030 7.030 56.19 56.19 56.19
Positions (direct):
Li 0.057 0.576 0.222
Li 0.222 0.057 0.576
Li 0.424 0.778 0.943
Li 0.576 0.222 0.057
Li 0.778 0.943 0.424
Li 0.943 0.424 0.778
Zn 0.205 0.696 0.430
Zn 0.304 0.570 0.795
Zn 0.430 0.205 0.696
Zn 0.570 0.795 0.304
Zn 0.696 0.430 0.205
Zn 0.795 0.304 0.570
Pd 0.159 0.159 0.159
Pd 0.841 0.841 0.841